(1)
4
Lattice="3.734 0.000 0.000 1.867 3.234 0.000 1.867 1.078 10.560" Properties=species:S:1:pos:R:3 comment="PBE Sr2PrN, relaxed" e_form_raw_mev_per_atom=-264 volume_a3_per_cell=127 sg="R-3m (166)" pbc="T T T"
Pr 0.000 0.000 0.000
Sr 1.867 1.078 6.682
Sr 5.601 3.234 3.879
N 3.734 2.156 5.280

(2)
11
Lattice="4.143 -0.006 0.665 -0.057 3.709 0.377 0.090 0.580 12.851" Properties=species:S:1:pos:R:3 comment="PBE Y3Ga4Ni4, relaxed" delta_e_f_mev_per_atom=-586 volume_a3_per_cell=196 sg="P-1 (2)" pbc="T T T"
Y 2.732 0.947 9.544
Y 1.443 3.336 4.349
Y 4.143 -0.006 0.665
Ga 2.336 2.557 12.098
Ga 1.839 1.726 1.795
Ga 3.356 1.359 5.654
Ga 0.819 2.925 8.239
Ni 0.448 2.676 10.631
Ni 1.082 1.224 6.583
Ni 3.094 3.060 7.310
Ni 3.728 1.607 3.263

Number 1: E_tot -4.382 eV/atom. Number 2: E_tot -5.552 eV/atom.